(a)
First-principles (SCAN) data for a PBEsol-optimized structure of Be2CuPt, as listed in Alexandria.

Calculated values
The density is 10.8 g/cm³. Its space group is No. 8. The volume comes out at 42.4 Å³/f.u.

a b c (Å): 2.6890 3.9452 4.4162
angles (deg): 107.43 107.73 90.00
Atoms (fractional coordinates):
Be  0.0062  0.9544  0.0124
Cu  0.4882  0.4417  0.9765
Be  0.7423  0.2945  0.4845
Pt  0.2633  0.8094  0.5266

***

(b)
First-principles (SCAN) data for a PBEsol-optimized structure of Be2CuPt, as listed in Alexandria.

Calculated values
The density is 11.0 g/cm³. Its space group is No. 123. The volume comes out at 41.9 Å³/f.u.

a b c (Å): 2.7128 3.9320 3.9319
angles (deg): 90.00 90.00 90.00
Atoms (fractional coordinates):
Be  0.0000  0.0000  0.0000
Cu  0.5000  0.0000  0.5000
Pt  0.5000  0.5000  0.0000
Be  0.0000  0.5000  0.5000

***

Which one sits at the top of the stability order? (b) does.

***

(a)
First-principles (SCAN) data for a PBEsol-optimized structure of Be2CuRe, as listed in Alexandria.

Calculated values
The density is 10.0 g/cm³. Its space group is No. 12. The volume comes out at 44.5 Å³/f.u.

a b c (Å): 2.5393 4.2205 4.5183
angles (deg): 104.58 90.00 107.51
Atoms (fractional coordinates):
Re  0.5000  0.0000  0.0000
Be  0.2617  0.5234  0.2340
Cu  0.0000  0.0000  0.5000
Be  0.7383  0.4766  0.7660

***

(b)
First-principles (SCAN) data for a PBEsol-optimized structure of Be2CuRe, as listed in Alexandria.

Calculated values
The density is 10.5 g/cm³. Its space group is No. 119. The volume comes out at 42.4 Å³/f.u.

a b c (Å): 3.2634 3.2634 4.5992
angles (deg): 110.78 110.78 90.00
Atoms (fractional coordinates):
Cu  0.5000  0.5000  0.0000
Be  0.0000  0.0000  0.0000
Be  0.7500  0.2500  0.5000
Re  0.2500  0.7500  0.5000

***

Which one sits at the top of the stability order? (b) does.

***

(a)
First-principles (SCAN) data for a PBEsol-optimized structure of ScBe2Cu, as listed in Alexandria.

Calculated values
The density is 3.6 g/cm³. Its space group is No. 141. The volume comes out at 58.6 Å³/f.u.

a b c (Å): 3.9304 3.9304 8.0770
angles (deg): 104.08 104.08 90.00
Atoms (fractional coordinates):
Cu  0.0000  0.0000  0.0000
Be  0.1250  0.3750  0.2500
Sc  0.5000  0.5000  0.0000
Cu  0.2500  0.7500  0.5000
Be  0.1250  0.8750  0.7500
Sc  0.7500  0.2500  0.5000
Be  0.6250  0.8750  0.7500
Be  0.1250  0.8750  0.2500

***

(b)
First-principles (SCAN) data for a PBEsol-optimized structure of ScBe2Cu, as listed in Alexandria.

Calculated values
The density is 4.0 g/cm³. Its space group is No. 123. The volume comes out at 52.2 Å³/f.u.

a b c (Å): 3.6505 3.6564 3.9072
angles (deg): 90.00 90.00 90.00
Atoms (fractional coordinates):
Be  0.0000  0.0000  0.0000
Sc  0.0000  0.5000  0.5000
Cu  0.5000  0.0000  0.5000
Be  0.5000  0.5000  0.0000

***

Which one sits at the top of the stability order? (b) does.